1.
Material: KSr2Si
Method: DFT, PBE-GGA
State: relaxed

Geometry as POSCAR:
```
KSr2Si
1.0
10.091 0.000 0.000
0.000 10.091 0.000
0.000 0.000 7.455
K Sr Si
4 8 4
Direct
0.000 0.000 0.000
0.000 0.500 0.250
0.500 0.000 0.750
0.500 0.500 0.500
0.145 0.750 0.625
0.250 0.145 0.375
0.250 0.355 0.875
0.355 0.750 0.125
0.645 0.250 0.125
0.750 0.645 0.875
0.750 0.855 0.375
0.855 0.250 0.625
0.000 0.000 0.500
0.000 0.500 0.750
0.500 0.000 0.250
0.500 0.500 0.000
```

Results
symmetry	No. 122
magnetization	0.000	μB/f.u.
crystal system	tetragonal
electronic total energy	-38.13	eV per cell
E_form (uncorrected)	0.088	eV/atom

***

2.
Material: KSr2Si
Method: DFT, PBE-GGA
State: relaxed

Geometry as POSCAR:
```
KSr2Si
1.0
5.432 0.000 0.000
0.000 5.432 0.000
0.000 0.000 4.770
K Sr Si
1 2 1
Direct
0.000 0.000 0.000
0.000 0.500 0.500
0.500 0.000 0.500
0.500 0.500 0.000
```

Results
symmetry	No. 123
magnetization	0.874	μB/f.u.
crystal system	tetragonal
electronic total energy	-9.40	eV per cell
E_form (uncorrected)	0.122	eV/atom

***

3.
Material: KSr2TaSi
Method: DFT, PBE-GGA
State: relaxed

Geometry as POSCAR:
```
KSr2TaSi
1.0
6.175 0.000 0.000
0.000 6.175 0.000
0.000 0.000 6.171
K Sr Ta Si
1 2 1 1
Direct
0.000 0.000 0.000
0.000 0.500 0.500
0.500 0.000 0.500
0.000 0.000 0.500
0.500 0.500 0.000
```

Results
symmetry	No. 123
magnetization	3.628	μB/f.u.
crystal system	tetragonal
electronic total energy	-14.18	eV per cell
E_form (uncorrected)	1.511	eV/atom

***

4.
Material: KSrZn2Si
Method: DFT, PBE-GGA
State: relaxed

Geometry as POSCAR:
```
KSrZn2Si
1.0
6.066 0.000 0.000
0.000 6.066 0.000
0.000 0.000 5.921
K Sr Zn Si
1 1 2 1
Direct
0.000 0.000 0.000
0.500 0.500 0.500
0.000 0.500 0.500
0.500 0.000 0.500
0.500 0.500 0.000
```

Results
symmetry	No. 123
magnetization	1.303	μB/f.u.
crystal system	tetragonal
electronic total energy	-7.62	eV per cell
E_form (uncorrected)	0.627	eV/atom